1.
A plane-wave DFT calculation with PBE was carried out for a relaxed structure of Pr2Nd2CIBr4.

Crystal system ... monoclinic
Total magnetic moment ... 0.37 μB/f.u.
Total energy ... -5.027 eV per atom

Unit cell a=18.467 b=4.023 c=8.795 alpha=90.00 beta=103.64 gamma=90.00
Space group C2/m (No. 12)
Unique sites:
Pr 0.142 0.000 0.074
Nd 0.001 0.500 0.804
C 0.000 0.000 0.000
I 0.000 0.000 0.500
Br 0.164 0.500 0.332
Br 0.170 0.500 0.835

=====

2.
A plane-wave DFT calculation with PBE was carried out for a relaxed structure of LaErNi8B2.

Polymorph energy (0 for the lowest one) ... 54.7 meV/atom
Crystal system ... hexagonal
Total magnetic moment ... 0.00 μB/f.u.

Unit cell a=5.0467 b=5.0467 c=6.9798 alpha=90.00 beta=90.00 gamma=120.00
Space group P6/mmm (No. 191)
Unique sites:
La 0.0000 0.0000 0.0000
Er 0.0000 0.0000 0.5000
Ni 0.0000 0.5000 0.2100
Ni 0.3333 0.6667 0.5000
B 0.3333 0.6667 0.0000

=====

3.
A plane-wave DFT calculation with PBE was carried out for a relaxed structure of KTcAg.

Polymorph energy (0 for the lowest one) ... 451.5 meV/atom
Crystal system ... cubic
Total magnetic moment ... 3.57 μB/f.u.

Unit cell a=7.096 b=7.096 c=7.096 alpha=90.00 beta=90.00 gamma=90.00
Space group F-43m (No. 216)
Unique sites:
K 0.000 0.000 0.000
Tc 0.250 0.250 0.250
Ag 0.250 0.250 0.750

=====

4.
A plane-wave DFT calculation with PBE was carried out for a relaxed structure of ScTlCoTe3.

Crystal system ... orthorhombic
Total magnetic moment ... 2.02 μB/f.u.
Total energy ... -4.753 eV per atom

Unit cell a=10.625 b=4.036 c=15.953 alpha=90.00 beta=90.00 gamma=90.00
Space group Pnma (No. 62)
Unique sites:
Sc 0.002 0.250 0.250
Tl 0.248 0.750 0.504
Co 0.249 0.250 0.726
Te 0.064 0.250 0.624
Te 0.067 0.750 0.124
Te 0.248 0.750 0.824

=====

5.
A plane-wave DFT calculation with PBE was carried out for a relaxed structure of GdY2Hg.

Polymorph energy (0 for the lowest one) ... 0.0 meV/atom
ΔE_f ... -0.21 eV per atom
Crystal system ... orthorhombic
Total magnetic moment ... 0.02 μB/f.u.

Unit cell a=5.146 b=10.627 c=8.398 alpha=90.00 beta=90.00 gamma=90.00
Space group Ama2 (No. 40)
Unique sites:
Gd 0.250 0.113 0.000
Y 0.250 0.113 0.586
Y 0.250 0.389 0.794
Hg 0.250 0.321 0.293

=====

6.
A plane-wave DFT calculation with PBE was carried out for a relaxed structure of TbTm2Cu4Si4.

Crystal system ... orthorhombic
Total magnetic moment ... 0.00 μB/f.u.
Total energy ... -5.200 eV per atom

Unit cell a=4.088 b=6.535 c=13.584 alpha=90.00 beta=90.00 gamma=90.00
Space group Immm (No. 71)
Unique sites:
Tb 0.000 0.000 0.000
Tm 0.000 0.500 0.129
Cu 0.000 0.308 0.331
Si 0.000 0.000 0.217
Si 0.000 0.184 0.500

=====

Q: Which value of total magnetic moment does entry 5 give?
A: 0.02 μB/f.u.